Material: AgAu2Br
Method: DFT, PBE
State: relaxed

Cell lengths 6.504, 6.504, 3.848 Å; angles 106.17, 106.17, 35.77 degrees
Fractional coordinates of all 4 atoms:
Au 0.002 0.002 0.003
Au 0.498 0.498 0.497
Br 0.750 0.750 0.750
Ag 0.250 0.250 0.250

Properties
SG ... C2/m
E above lowest polymorph ... 0.420 eV/f.u.
DFT total energy ... -0.097 Ha/atom
Formation energy (no corrections) ... 0.55 eV/f.u.